[1]
{"formula": "K2Hg", "functional": "GGA-PBE", "state": "optimized geometry", "lattice": [[0.000, 5.631, 5.631], [5.631, 0.000, 5.631], [5.631, 5.631, 0.000]], "species": ["K", "K", "K", "K", "Hg", "Hg"], "fractional_positions": [[0.000, 0.000, 0.000], [0.000, 0.000, 0.500], [0.000, 0.500, 0.000], [0.500, 0.000, 0.000], [0.375, 0.375, 0.375], [0.625, 0.625, 0.625]], "energy_ev_per_atom": -0.732, "space_group": "Fd-3m, No. 227"}

[2]
{"formula": "Ho2TmCu4Si2Ge2", "functional": "GGA-PBE", "state": "optimized geometry", "lattice": [[-2.063, 3.286, 6.882], [2.063, -3.286, 6.882], [2.063, 3.286, -6.882]], "species": ["Ho", "Ho", "Tm", "Cu", "Cu", "Cu", "Cu", "Si", "Si", "Ge", "Ge"], "fractional_positions": [[0.130, 0.130, 0.000], [0.870, 0.870, 0.000], [0.500, 0.000, 0.500], [0.136, 0.326, 0.809], [0.483, 0.674, 0.809], [0.517, 0.326, 0.191], [0.864, 0.674, 0.191], [0.284, 0.784, 0.500], [0.716, 0.216, 0.500], [0.194, 0.500, 0.694], [0.806, 0.500, 0.306]], "energy_ev_per_atom": -5.054, "space_group": "Immm, No. 71"}

[3]
{"formula": "PrAgNO", "functional": "GGA-PBE", "state": "optimized geometry", "lattice": [[4.005, 0.000, 0.000], [0.000, 6.187, 0.000], [0.000, 0.000, 5.383]], "species": ["Pr", "Pr", "Ag", "Ag", "N", "N", "O", "O"], "fractional_positions": [[0.000, 0.220, 0.000], [0.000, 0.780, 0.500], [0.500, 0.258, 0.490], [0.500, 0.742, 0.990], [0.000, 0.165, 0.469], [0.000, 0.835, 0.969], [0.500, 0.373, 0.908], [0.500, 0.627, 0.408]], "energy_ev_per_atom": -6.062, "space_group": "Pmc2_1, No. 26"}

[4]
{"formula": "CuGe2", "functional": "GGA-PBE", "state": "optimized geometry", "lattice": [[6.583, 0.000, 0.000], [0.000, 3.903, 0.000], [0.000, 0.000, 7.787]], "species": ["Cu", "Cu", "Cu", "Cu", "Ge", "Ge", "Ge", "Ge", "Ge", "Ge", "Ge", "Ge"], "fractional_positions": [[0.247, 0.250, 0.116], [0.253, 0.750, 0.616], [0.747, 0.250, 0.384], [0.753, 0.750, 0.884], [0.021, 0.250, 0.849], [0.133, 0.250, 0.425], [0.367, 0.750, 0.925], [0.479, 0.750, 0.349], [0.521, 0.250, 0.651], [0.633, 0.250, 0.075], [0.867, 0.750, 0.575], [0.979, 0.750, 0.151]], "energy_ev_per_atom": -4.140, "space_group": "Pnma, No. 62"}

[5]
{"formula": "CoCuGePb", "functional": "GGA-PBE", "state": "optimized geometry", "lattice": [[6.406, 0.000, 0.000], [0.000, 6.406, 0.000], [0.000, 0.000, 6.406]], "species": ["Co", "Co", "Co", "Co", "Cu", "Cu", "Cu", "Cu", "Ge", "Ge", "Ge", "Ge", "Pb", "Pb", "Pb", "Pb"], "fractional_positions": [[0.000, 0.000, 0.000], [0.000, 0.500, 0.500], [0.500, 0.000, 0.500], [0.500, 0.500, 0.000], [0.000, 0.000, 0.500], [0.000, 0.500, 0.000], [0.500, 0.000, 0.000], [0.500, 0.500, 0.500], [0.250, 0.250, 0.250], [0.250, 0.750, 0.750], [0.750, 0.250, 0.750], [0.750, 0.750, 0.250], [0.250, 0.250, 0.750], [0.250, 0.750, 0.250], [0.750, 0.250, 0.250], [0.750, 0.750, 0.750]], "energy_ev_per_atom": -4.355, "space_group": "F-43m, No. 216"}

[6]
{"formula": "CsTaTe", "functional": "GGA-PBE", "state": "optimized geometry", "lattice": [[8.029, 0.000, 0.000], [0.000, 8.029, 0.000], [0.000, 0.000, 8.029]], "species": ["Cs", "Cs", "Cs", "Cs", "Ta", "Ta", "Ta", "Ta", "Te", "Te", "Te", "Te"], "fractional_positions": [[0.000, 0.000, 0.000], [0.000, 0.500, 0.500], [0.500, 0.000, 0.500], [0.500, 0.500, 0.000], [0.250, 0.250, 0.750], [0.250, 0.750, 0.250], [0.750, 0.250, 0.250], [0.750, 0.750, 0.750], [0.250, 0.250, 0.250], [0.250, 0.750, 0.750], [0.750, 0.250, 0.750], [0.750, 0.750, 0.250]], "energy_ev_per_atom": -3.393, "space_group": "F-43m, No. 216"}

[7]
{"formula": "Ho3ErPb2N2", "functional": "GGA-PBE", "state": "optimized geometry", "lattice": [[3.525, 0.000, 0.000], [-1.762, 3.052, 0.000], [0.000, 0.000, 15.497]], "species": ["Ho", "Ho", "Ho", "Er", "Pb", "Pb", "N", "N"], "fractional_positions": [[0.000, 0.000, 0.000], [0.000, 0.000, 0.334], [0.667, 0.333, 0.833], [0.667, 0.333, 0.500], [0.000, 0.000, 0.666], [0.667, 0.333, 0.167], [0.333, 0.667, 0.418], [0.333, 0.667, 0.917]], "energy_ev_per_atom": -6.404, "space_group": "P3m1, No. 156"}

[8]
{"formula": "FeTcAg2", "functional": "GGA-PBE", "state": "optimized geometry", "lattice": [[6.291, 0.000, 0.000], [0.000, 6.291, 0.000], [0.000, 0.000, 6.291]], "species": ["Fe", "Fe", "Fe", "Fe", "Tc", "Tc", "Tc", "Tc", "Ag", "Ag", "Ag", "Ag", "Ag", "Ag", "Ag", "Ag"], "fractional_positions": [[0.000, 0.000, 0.000], [0.000, 0.500, 0.500], [0.500, 0.000, 0.500], [0.500, 0.500, 0.000], [0.250, 0.250, 0.250], [0.250, 0.750, 0.750], [0.750, 0.250, 0.750], [0.750, 0.750, 0.250], [0.000, 0.000, 0.500], [0.000, 0.500, 0.000], [0.250, 0.250, 0.750], [0.250, 0.750, 0.250], [0.500, 0.000, 0.000], [0.500, 0.500, 0.500], [0.750, 0.250, 0.250], [0.750, 0.750, 0.750]], "ef_ev_per_atom": 0.63, "energy_ev_per_atom": -5.448, "space_group": "F-43m, No. 216"}